[1]
Ac8LaPt5: relaxed, PBE.

Cell and atoms, written as POSCAR:
```
Ac8LaPt5
1.0
-0.290 0.310 -4.390
-9.245 -5.530 0.221
-3.268 10.539 3.176
Ac Pt La
8 5 1
direct
0.170 0.496 0.340
0.765 0.845 0.530
0.089 0.824 0.177
0.830 0.504 0.660
0.911 0.176 0.823
0.428 0.839 0.855
0.572 0.161 0.145
0.235 0.155 0.470
0.703 0.332 0.405
0.297 0.668 0.595
0.338 0.017 0.677
0.661 0.983 0.323
0.000 0.000 0.000
0.500 0.500 0.000
```

Formation energy (meV per atom): -809
Theoretical density (g/cm3): 9.33
Magnetization (μB/atom): 0.000

[2]
AcLaPt2: relaxed, PBE.

Cell and atoms, written as POSCAR:
```
AcLaPt2
1.0
-1.518 -0.810 3.971
2.037 -2.834 2.558
4.163 3.989 4.764
Ac La Pt
1 1 2
direct
0.500 0.500 0.500
0.000 0.000 0.000
0.253 0.253 0.241
0.747 0.747 0.759
```

Formation energy (meV per atom): -1171
Theoretical density (g/cm3): 10.98
Distance to the lowest polymorph of the same formula (meV per atom): 6
Magnetization (μB/atom): 0.000

[3]
Ac2LaPt3: relaxed, PBE.

Cell and atoms, written as POSCAR:
```
Ac2LaPt3
1.0
-2.605 0.513 -3.443
2.697 -2.425 -2.397
-4.719 -6.621 5.328
Pt Ac La
3 2 1
direct
0.598 0.599 0.202
0.934 0.936 0.874
0.270 0.271 0.546
0.768 0.769 0.542
0.101 0.102 0.206
0.434 0.436 0.874
```

Formation energy (meV per atom): -1167
Theoretical density (g/cm3): 11.22
Magnetization (μB/atom): 0.000

[4]
Ac2LaPt4: relaxed, PBE.

Cell and atoms, written as POSCAR:
```
Ac2LaPt4
1.0
-5.384 3.525 -4.405
6.369 -1.635 -4.193
-2.974 -6.661 2.759
Pt La Ac
8 2 4
direct
0.893 0.801 0.252
0.891 0.299 0.248
0.549 0.641 0.748
0.051 0.643 0.752
0.359 0.107 0.908
0.199 0.451 0.092
0.701 0.949 0.592
0.357 0.109 0.408
0.250 0.750 0.500
0.000 0.000 0.000
0.125 0.257 0.632
0.743 0.375 0.868
0.625 0.493 0.368
0.507 0.875 0.132
```

Formation energy (meV per atom): -1089
Theoretical density (g/cm3): 12.50
Magnetization (μB/atom): 0.000